VASP calculation (PBE-GGA) on a relaxed structure of ScAl2Ag.

Lattice parameters (Å, degrees): 3.099 4.557 5.410 90.00 90.00 90.00
Fractional coordinates of all 4 atoms:
Sc 0.000 0.000 0.000
Al 0.500 0.000 0.494
Al 0.500 0.500 0.233
Ag 0.500 0.500 0.745

Calculated values
energy of formation: -229 meV per atom
uncorrected energy: -17.58 eV per cell
symmetry: Pmm2, No. 25
magnetization: 0.000 μB per cell